No. 1
This record from Alexandria describes crystalline LiUTe3 at its relaxed geometry. The functional is PBE-GGA.

a = 7.894 Å, b = 7.894 Å, c = 7.894 Å
α = 136.27°, β = 106.32°, γ = 89.80°
Atoms (fractional coordinates):
Li  0.000  0.000  0.000
Li  0.500  0.000  0.500
U  0.316  0.566  0.750
U  0.684  0.434  0.250
Te  0.092  0.650  0.442
Te  0.292  0.350  0.942
Te  0.378  0.128  0.250
Te  0.622  0.872  0.750
Te  0.708  0.650  0.058
Te  0.908  0.350  0.558

Output
- Formation energy without anion corrections: -0.552 eV/atom
- Energy above the lowest structure with this stoichiometry: 61.0 kJ/mol of formula units
- Space group: Imma (74)
- E_tot: -5.08 eV per atom

No. 2
This record from Alexandria describes crystalline NiPHPt2 at its relaxed geometry. The functional is PBE-GGA.

a = 4.793 Å, b = 4.793 Å, c = 2.858 Å
α = 90.00°, β = 90.00°, γ = 90.00°
Atoms (fractional coordinates):
Ni  0.000  0.000  0.000
P  0.500  0.500  0.500
H  0.000  0.000  0.500
Pt  0.000  0.500  0.000
Pt  0.500  0.000  0.000

Output
- Space group: P4/mmm (123)
- E_tot: -4.92 eV per atom

No. 3
This record from Alexandria describes crystalline EuTh2Au at its relaxed geometry. The functional is PBE-GGA.

a = 10.708 Å, b = 10.708 Å, c = 10.708 Å
α = 20.00°, β = 20.00°, γ = 20.00°
Atoms (fractional coordinates):
Eu  0.000  0.000  0.000
Th  0.238  0.238  0.238
Th  0.762  0.762  0.762
Au  0.500  0.500  0.500

Output
- Space group: R-3m (166)
- E_tot: -7.20 eV per atom

No. 4
This record from Alexandria describes crystalline Pr2Ga3CuAu4 at its relaxed geometry. The functional is PBE-GGA.

a = 4.492 Å, b = 4.492 Å, c = 10.312 Å
α = 90.00°, β = 90.00°, γ = 90.00°
Atoms (fractional coordinates):
Pr  0.000  0.500  0.242
Pr  0.500  0.000  0.758
Ga  0.000  0.000  0.000
Ga  0.000  0.500  0.632
Ga  0.500  0.000  0.368
Cu  0.500  0.500  0.000
Au  0.000  0.000  0.500
Au  0.000  0.500  0.875
Au  0.500  0.000  0.125
Au  0.500  0.500  0.500

Output
- Space group: P-4m2 (115)
- E_tot: -4.16 eV per atom

Number 4 is which compound? Pr2Ga3CuAu4